No. 1
# Rb2BeI7 | Alexandria | GGA-PBE | optimized geometry
data_Rb2BeI7
_symmetry_space_group_name_H-M 'I 4/m m m'
_symmetry_Int_Tables_number 139
_symmetry_space_group_name_Hall '-I 4 2'
_cell_length_a 8.826
_cell_length_b 8.826
_cell_length_c 12.001
_cell_angle_alpha 90.00
_cell_angle_beta 90.00
_cell_angle_gamma 90.00
loop_
_atom_site_label
_atom_site_fract_x
_atom_site_fract_y
_atom_site_fract_z
_atom_site_occupancy
Rb1 0.000 0.500 0.250 1
Be1 0.000 0.000 0.000 1
I1 0.000 0.000 0.192 1
I2 0.000 0.000 0.500 1
I3 0.249 0.249 0.500 1
# - Uncorrected formation energy: -53.28 kJ per mole of atoms
# - VASP energy: -2.203 eV per atom
# - Magnetization: 1.00 μB per formula unit
# - Fermi-level density of states: 6.90 states/eV/f.u.
# - Calculated volume: 46.75 Å³ per atom

***

No. 2
# LaAgOs2 | Alexandria | GGA-PBE | optimized geometry
data_LaAgOs2
_symmetry_space_group_name_H-M 'C 1 2/m 1'
_symmetry_Int_Tables_number 12
_symmetry_space_group_name_Hall '-C 2y'
_cell_length_a 5.803
_cell_length_b 9.774
_cell_length_c 2.930
_cell_angle_alpha 90.00
_cell_angle_beta 117.80
_cell_angle_gamma 90.00
loop_
_atom_site_label
_atom_site_fract_x
_atom_site_fract_y
_atom_site_fract_z
_atom_site_occupancy
La1 0.000 0.000 0.000 1
Ag1 0.000 0.500 0.000 1
Os1 0.250 0.250 0.500 1
# - VASP energy: -6.935 eV per atom
# - Magnetization: 0.00 μB per formula unit
# - DFT formation energy: 0.6250 eV/atom
# - Energy relative to the lowest polymorph listed for this composition: 339 meV per atom
# - Fermi-level density of states: 3.97 states/eV/f.u.
# - Calculated volume: 18.38 Å³ per atom

***

No. 3
# TaZnTe2 | Alexandria | GGA-PBE | optimized geometry
data_TaZnTe2
_symmetry_space_group_name_H-M 'P m m m'
_symmetry_Int_Tables_number 47
_symmetry_space_group_name_Hall '-P 2 2'
_cell_length_a 3.493
_cell_length_b 4.579
_cell_length_c 5.496
_cell_angle_alpha 90.00
_cell_angle_beta 90.00
_cell_angle_gamma 90.00
loop_
_atom_site_label
_atom_site_fract_x
_atom_site_fract_y
_atom_site_fract_z
_atom_site_occupancy
Ta1 0.000 0.000 0.000 1
Zn1 0.500 0.000 0.500 1
Te1 0.000 0.500 0.500 1
Te2 0.500 0.500 0.000 1
# - Uncorrected formation energy: 52.75 kJ per mole of atoms
# - VASP energy: -4.306 eV per atom
# - Magnetization: 0.00 μB per formula unit
# - Fermi-level density of states: 2.75 states/eV/f.u.
# - Calculated volume: 21.98 Å³ per atom